[1]
Compound: CeMnRhS3
Source: Alexandria via LeMat-Bulk
Functional: GGA-PBE
Structure: optimized geometry

```
data_CeMnRhS3
_chemical_formula_sum 'Ce2 Mn2 Rh2 S6'
_cell_length_a 7.1882
_cell_length_b 3.7628
_cell_length_c 8.4004
_cell_angle_alpha 90.00
_cell_angle_beta 104.10
_cell_angle_gamma 90.00
_space_group_name_H-M_alt 'P 1 21/m 1'
_space_group_IT_number 11
_space_group_name_Hall '-P 2yb'
loop_
_atom_site_label
_atom_site_type_symbol
_atom_site_fract_x
_atom_site_fract_y
_atom_site_fract_z
Ce1 Ce 0.2048 0.2500 0.2512
Mn1 Mn 0.3222 0.7500 0.8300
Rh1 Rh 0.1262 0.2500 0.5837
S1 S 0.0879 0.2500 0.8676
S2 S 0.2909 0.7500 0.5326
S3 S 0.4267 0.7500 0.1369
```

[2]
Compound: CuSb6S2O16
Source: Alexandria via LeMat-Bulk
Functional: GGA-PBE
Structure: optimized geometry

```
data_CuSb6S2O16
_chemical_formula_sum 'Cu1 Sb6 S2 O16'
_cell_length_a 5.6980
_cell_length_b 7.7998
_cell_length_c 9.4458
_cell_angle_alpha 96.82
_cell_angle_beta 93.09
_cell_angle_gamma 109.04
_space_group_name_H-M_alt 'P -1'
_space_group_IT_number 2
_space_group_name_Hall '-P 1'
loop_
_atom_site_label
_atom_site_type_symbol
_atom_site_fract_x
_atom_site_fract_y
_atom_site_fract_z
Cu1 Cu 0.0000 0.0000 0.0000
Sb1 Sb 0.3008 0.9815 0.7214
Sb2 Sb 0.3264 0.3503 0.2986
Sb3 Sb 0.3573 0.6701 0.9840
S1 S 0.1466 0.7172 0.3565
O1 O 0.0292 0.1568 0.1833
O2 O 0.0621 0.5218 0.2791
O3 O 0.0702 0.2368 0.5982
O4 O 0.2693 0.8397 0.2474
O5 O 0.3255 0.1278 0.9227
O6 O 0.3361 0.7382 0.4766
O7 O 0.4487 0.8001 0.7971
O8 O 0.4500 0.4734 0.1255
```

[3]
# Pm12SmEr6 | Alexandria via LeMat-Bulk | GGA-PBE | optimized geometry
data_Pm12SmEr6
_chemical_formula_sum 'Pm36 Sm3 Er18'
_cell_length_a 12.0840
_cell_length_b 12.0840
_cell_length_c 15.2432
_cell_angle_alpha 90.00
_cell_angle_beta 90.00
_cell_angle_gamma 120.00
_space_group_name_H-M_alt 'R -3'
_space_group_IT_number 148
_space_group_name_Hall '-R 3'
loop_
_atom_site_label
_atom_site_type_symbol
_atom_site_fract_x
_atom_site_fract_y
_atom_site_fract_z
Pm1 Pm 0.0045 0.8295 0.1920
Pm2 Pm 0.0468 0.8498 0.4164
Sm1 Sm 0.0000 0.0000 0.0000
Er1 Er 0.0144 0.4275 0.6861
# ΔE_f in kcal/mol of atoms: 3.141
# ΔE to the lowest computed polymorph in eV per atom: 0.000

[4]
# Ce2NdAl | Alexandria via LeMat-Bulk | GGA-PBE | optimized geometry
data_Ce2NdAl
_chemical_formula_sum 'Ce2 Nd1 Al1'
_cell_length_a 3.3152
_cell_length_b 3.3152
_cell_length_c 9.9638
_cell_angle_alpha 90.00
_cell_angle_beta 90.00
_cell_angle_gamma 90.00
_space_group_name_H-M_alt 'P 4/m m m'
_space_group_IT_number 123
_space_group_name_Hall '-P 4 2'
loop_
_atom_site_label
_atom_site_type_symbol
_atom_site_fract_x
_atom_site_fract_y
_atom_site_fract_z
Ce1 Ce 0.0000 0.0000 0.2150
Nd1 Nd 0.5000 0.5000 0.5000
Al1 Al 0.5000 0.5000 0.0000
# ΔE_f in kcal/mol of atoms: -1.297
# ΔE to the lowest computed polymorph in eV per atom: 0.073

[5]
# Pu2B4Os5 | Alexandria via LeMat-Bulk | GGA-PBE | optimized geometry
data_Pu2B4Os5
_chemical_formula_sum 'Pu8 B16 Os20'
_cell_length_a 5.4716
_cell_length_b 9.8462
_cell_length_c 11.4590
_cell_angle_alpha 90.00
_cell_angle_beta 90.00
_cell_angle_gamma 90.00
_space_group_name_H-M_alt 'F m m m'
_space_group_IT_number 69
_space_group_name_Hall '-F 2 2'
loop_
_atom_site_label
_atom_site_type_symbol
_atom_site_fract_x
_atom_site_fract_y
_atom_site_fract_z
Pu1 Pu 0.0000 0.0000 0.1367
B1 B 0.0000 0.1548 0.3659
Os1 Os 0.0000 0.0000 0.5000
Os2 Os 0.2500 0.2500 0.0000
Os3 Os 0.2500 0.2500 0.2500
# ΔE_f in kcal/mol of atoms: -5.764

[6]
# In2Co | Alexandria via LeMat-Bulk | GGA-PBE | optimized geometry
data_In2Co
_chemical_formula_sum 'In8 Co4'
_cell_length_a 3.2494
_cell_length_b 14.7966
_cell_length_c 4.9183
_cell_angle_alpha 90.00
_cell_angle_beta 90.00
_cell_angle_gamma 90.00
_space_group_name_H-M_alt 'C m c m'
_space_group_IT_number 63
_space_group_name_Hall '-C 2c 2'
loop_
_atom_site_label
_atom_site_type_symbol
_atom_site_fract_x
_atom_site_fract_y
_atom_site_fract_z
In1 In 0.0000 0.0628 0.2500
In2 In 0.0000 0.3494 0.2500
Co1 Co 0.0000 0.2914 0.7500
# ΔE_f in kcal/mol of atoms: 5.547

[7]
Compound: BaCdTe2
Source: Alexandria via LeMat-Bulk
Functional: GGA-PBE
Structure: optimized geometry

```
data_BaCdTe2
_chemical_formula_sum 'Ba1 Cd1 Te2'
_cell_length_a 5.5715
_cell_length_b 5.5715
_cell_length_c 4.2569
_cell_angle_alpha 90.00
_cell_angle_beta 90.00
_cell_angle_gamma 90.00
_space_group_name_H-M_alt 'P 4/m m m'
_space_group_IT_number 123
_space_group_name_Hall '-P 4 2'
loop_
_atom_site_label
_atom_site_type_symbol
_atom_site_fract_x
_atom_site_fract_y
_atom_site_fract_z
Ba1 Ba 0.0000 0.0000 0.0000
Cd1 Cd 0.5000 0.5000 0.0000
Te1 Te 0.0000 0.5000 0.5000
```

[8]
Compound: Ce2GeMoN5
Source: Alexandria via LeMat-Bulk
Functional: GGA-PBE
Structure: optimized geometry

```
data_Ce2GeMoN5
_chemical_formula_sum 'Ce8 Ge4 Mo4 N20'
_cell_length_a 3.2204
_cell_length_b 13.9372
_cell_length_c 10.0619
_cell_angle_alpha 90.00
_cell_angle_beta 90.00
_cell_angle_gamma 90.00
_space_group_name_H-M_alt 'C m c 21'
_space_group_IT_number 36
_space_group_name_Hall 'C 2c -2'
loop_
_atom_site_label
_atom_site_type_symbol
_atom_site_fract_x
_atom_site_fract_y
_atom_site_fract_z
Ce1 Ce 0.0000 0.1240 0.0000
Ce2 Ce 0.0000 0.1357 0.5596
Ge1 Ge 0.0000 0.4919 0.7551
Mo1 Mo 0.0000 0.2281 0.2864
N1 N 0.0000 0.0618 0.3202
N2 N 0.0000 0.2873 0.9237
N3 N 0.0000 0.2979 0.6501
N4 N 0.0000 0.3726 0.2960
N5 N 0.0000 0.4995 0.0688
```

[9]
Compound: InGaBi2O6
Source: Alexandria via LeMat-Bulk
Functional: GGA-PBE
Structure: optimized geometry

```
data_InGaBi2O6
_chemical_formula_sum 'In2 Ga2 Bi4 O12'
_cell_length_a 5.5308
_cell_length_b 5.9481
_cell_length_c 9.7341
_cell_angle_alpha 90.00
_cell_angle_beta 124.40
_cell_angle_gamma 90.00
_space_group_name_H-M_alt 'P 1 21/c 1'
_space_group_IT_number 14
_space_group_name_Hall '-P 2ybc'
loop_
_atom_site_label
_atom_site_type_symbol
_atom_site_fract_x
_atom_site_fract_y
_atom_site_fract_z
In1 In 0.0000 0.0000 0.0000
Ga1 Ga 0.5000 0.0000 0.5000
Bi1 Bi 0.2238 0.0541 0.7343
O1 O 0.1512 0.1752 0.4645
O2 O 0.2462 0.7150 0.4334
O3 O 0.3711 0.0459 0.2621
```

[10]
# BaY4P | Alexandria via LeMat-Bulk | GGA-PBE | optimized geometry
data_BaY4P
_chemical_formula_sum 'Ba4 Y16 P4'
_cell_length_a 9.4038
_cell_length_b 9.4038
_cell_length_c 9.4038
_cell_angle_alpha 90.00
_cell_angle_beta 90.00
_cell_angle_gamma 90.00
_space_group_name_H-M_alt 'F -4 3 m'
_space_group_IT_number 216
_space_group_name_Hall 'F -4 2 3'
loop_
_atom_site_label
_atom_site_type_symbol
_atom_site_fract_x
_atom_site_fract_y
_atom_site_fract_z
Ba1 Ba 0.0000 0.0000 0.0000
Y1 Y 0.1249 0.1249 0.3751
P1 P 0.2500 0.2500 0.7500
# ΔE_f in kcal/mol of atoms: 11.038

[11]
# Rb2TaMn | Alexandria via LeMat-Bulk | GGA-PBE | optimized geometry
data_Rb2TaMn
_chemical_formula_sum 'Rb8 Ta4 Mn4'
_cell_length_a 13.4835
_cell_length_b 13.4835
_cell_length_c 4.5206
_cell_angle_alpha 90.00
_cell_angle_beta 90.00
_cell_angle_gamma 90.00
_space_group_name_H-M_alt 'I -4 2 d'
_space_group_IT_number 122
_space_group_name_Hall 'I -4 2bw'
loop_
_atom_site_label
_atom_site_type_symbol
_atom_site_fract_x
_atom_site_fract_y
_atom_site_fract_z
Rb1 Rb 0.0725 0.2500 0.1250
Ta1 Ta 0.0000 0.0000 0.5000
Mn1 Mn 0.0000 0.0000 0.0000
# ΔE_f in kcal/mol of atoms: 33.553
# ΔE to the lowest computed polymorph in eV per atom: 0.000

[12]
# ScZnCo2 | Alexandria via LeMat-Bulk | GGA-PBE | optimized geometry
data_ScZnCo2
_chemical_formula_sum 'Sc4 Zn4 Co8'
_cell_length_a 6.0810
_cell_length_b 6.0810
_cell_length_c 6.0810
_cell_angle_alpha 90.00
_cell_angle_beta 90.00
_cell_angle_gamma 90.00
_space_group_name_H-M_alt 'F -4 3 m'
_space_group_IT_number 216
_space_group_name_Hall 'F -4 2 3'
loop_
_atom_site_label
_atom_site_type_symbol
_atom_site_fract_x
_atom_site_fract_y
_atom_site_fract_z
Sc1 Sc 0.0000 0.0000 0.0000
Zn1 Zn 0.2500 0.2500 0.2500
Co1 Co 0.0000 0.0000 0.5000
Co2 Co 0.2500 0.2500 0.7500
# ΔE_f in kcal/mol of atoms: -1.184

[13]
Compound: Cr2Ag2GeS6
Source: Alexandria via LeMat-Bulk
Functional: GGA-PBE
Structure: optimized geometry

```
data_Cr2Ag2GeS6
_chemical_formula_sum 'Cr4 Ag4 Ge2 S12'
_cell_length_a 6.1024
_cell_length_b 10.5967
_cell_length_c 7.5385
_cell_angle_alpha 90.00
_cell_angle_beta 104.05
_cell_angle_gamma 90.00
_space_group_name_H-M_alt 'C 1 2/m 1'
_space_group_IT_number 12
_space_group_name_Hall '-C 2y'
loop_
_atom_site_label
_atom_site_type_symbol
_atom_site_fract_x
_atom_site_fract_y
_atom_site_fract_z
Cr1 Cr 0.0000 0.1608 0.0000
Ag1 Ag 0.0000 0.3364 0.5000
Ge1 Ge 0.0000 0.5000 0.0000
S1 S 0.1156 0.0000 0.8224
S2 S 0.1159 0.3304 0.8244
```

[14]
# Ac8Co4Bi | Alexandria via LeMat-Bulk | GGA-PBE | optimized geometry
data_Ac8Co4Bi
_chemical_formula_sum 'Ac16 Co8 Bi2'
_cell_length_a 14.7667
_cell_length_b 8.4872
_cell_length_c 10.7010
_cell_angle_alpha 90.00
_cell_angle_beta 131.86
_cell_angle_gamma 90.00
_space_group_name_H-M_alt 'C 1 2/m 1'
_space_group_IT_number 12
_space_group_name_Hall '-C 2y'
loop_
_atom_site_label
_atom_site_type_symbol
_atom_site_fract_x
_atom_site_fract_y
_atom_site_fract_z
Ac1 Ac 0.0087 0.0000 0.1877
Ac2 Ac 0.0148 0.5000 0.2030
Ac3 Ac 0.2398 0.2472 0.8054
Co1 Co 0.0000 0.2601 0.0000
Co2 Co 0.2386 0.5000 0.9836
Bi1 Bi 0.0000 0.0000 0.5000
# ΔE_f in kcal/mol of atoms: -1.788

[15]
# AcHoIn4 | Alexandria via LeMat-Bulk | GGA-PBE | optimized geometry
data_AcHoIn4
_chemical_formula_sum 'Ac1 Ho1 In4'
_cell_length_a 5.1091
_cell_length_b 5.1091
_cell_length_c 7.4901
_cell_angle_alpha 90.00
_cell_angle_beta 90.00
_cell_angle_gamma 120.00
_space_group_name_H-M_alt 'P 6/m m m'
_space_group_IT_number 191
_space_group_name_Hall '-P 6 2'
loop_
_atom_site_label
_atom_site_type_symbol
_atom_site_fract_x
_atom_site_fract_y
_atom_site_fract_z
Ac1 Ac 0.0000 0.0000 0.0000
Ho1 Ho 0.0000 0.0000 0.5000
In1 In 0.3333 0.6667 0.2806
# ΔE_f in kcal/mol of atoms: -9.658
# ΔE to the lowest computed polymorph in eV per atom: 0.000

[16]
Compound: As2WSe
Source: Alexandria via LeMat-Bulk
Functional: GGA-PBE
Structure: optimized geometry

```
data_As2WSe
_chemical_formula_sum 'As4 W2 Se2'
_cell_length_a 4.1682
_cell_length_b 4.1682
_cell_length_c 7.9903
_cell_angle_alpha 90.00
_cell_angle_beta 90.00
_cell_angle_gamma 90.00
_space_group_name_H-M_alt 'I 4/m m m'
_space_group_IT_number 139
_space_group_name_Hall '-I 4 2'
loop_
_atom_site_label
_atom_site_type_symbol
_atom_site_fract_x
_atom_site_fract_y
_atom_site_fract_z
As1 As 0.0000 0.5000 0.2500
W1 W 0.0000 0.0000 0.0000
Se1 Se 0.0000 0.0000 0.5000
```

[17]
# MnSnAu2 | Alexandria via LeMat-Bulk | GGA-PBE | optimized geometry
data_MnSnAu2
_chemical_formula_sum 'Mn1 Sn1 Au2'
_cell_length_a 4.2482
_cell_length_b 4.2482
_cell_length_c 4.1237
_cell_angle_alpha 90.00
_cell_angle_beta 90.00
_cell_angle_gamma 90.00
_space_group_name_H-M_alt 'P 4/m m m'
_space_group_IT_number 123
_space_group_name_Hall '-P 4 2'
loop_
_atom_site_label
_atom_site_type_symbol
_atom_site_fract_x
_atom_site_fract_y
_atom_site_fract_z
Mn1 Mn 0.0000 0.0000 0.0000
Sn1 Sn 0.5000 0.5000 0.0000
Au1 Au 0.0000 0.5000 0.5000
# ΔE_f in kcal/mol of atoms: -0.180

[18]
Compound: Tl4RhF6
Source: Alexandria via LeMat-Bulk
Functional: GGA-PBE
Structure: optimized geometry

```
data_Tl4RhF6
_chemical_formula_sum 'Tl8 Rh2 F12'
_cell_length_a 7.6984
_cell_length_b 7.6984
_cell_length_c 7.8804
_cell_angle_alpha 90.00
_cell_angle_beta 90.00
_cell_angle_gamma 90.00
_space_group_name_H-M_alt 'P 4/m n c'
_space_group_IT_number 128
_space_group_name_Hall '-P 4 2n'
loop_
_atom_site_label
_atom_site_type_symbol
_atom_site_fract_x
_atom_site_fract_y
_atom_site_fract_z
Tl1 Tl 0.1674 0.3326 0.2500
Rh1 Rh 0.0000 0.0000 0.0000
F1 F 0.0000 0.0000 0.2596
F2 F 0.1218 0.7319 0.0000
```

[19]
# Rb2Pt2Pb | Alexandria via LeMat-Bulk | GGA-PBE | optimized geometry
data_Rb2Pt2Pb
_chemical_formula_sum 'Rb4 Pt4 Pb2'
_cell_length_a 9.6869
_cell_length_b 9.6869
_cell_length_c 3.0603
_cell_angle_alpha 90.00
_cell_angle_beta 90.00
_cell_angle_gamma 90.00
_space_group_name_H-M_alt 'P 4/m b m'
_space_group_IT_number 127
_space_group_name_Hall '-P 4 2ab'
loop_
_atom_site_label
_atom_site_type_symbol
_atom_site_fract_x
_atom_site_fract_y
_atom_site_fract_z
Rb1 Rb 0.1198 0.3802 0.0000
Pt1 Pt 0.1818 0.6818 0.5000
Pb1 Pb 0.0000 0.0000 0.0000
# ΔE_f in kcal/mol of atoms: 10.049
# ΔE to the lowest computed polymorph in eV per atom: 0.606

[20]
Compound: Pb4S2Cl5
Source: Alexandria via LeMat-Bulk
Functional: GGA-PBE
Structure: optimized geometry

```
data_Pb4S2Cl5
_chemical_formula_sum 'Pb4 S2 Cl5'
_cell_length_a 4.3882
_cell_length_b 9.1822
_cell_length_c 10.5679
_cell_angle_alpha 74.35
_cell_angle_beta 89.97
_cell_angle_gamma 76.23
_space_group_name_H-M_alt 'P -1'
_space_group_IT_number 2
_space_group_name_Hall '-P 1'
loop_
_atom_site_label
_atom_site_type_symbol
_atom_site_fract_x
_atom_site_fract_y
_atom_site_fract_z
Pb1 Pb 0.0015 0.4944 0.2858
Pb2 Pb 0.3470 0.8087 0.9194
S1 S 0.4969 0.5047 0.1211
Cl1 Cl 0.1628 0.1714 0.2724
Cl2 Cl 0.1670 0.1645 0.8879
Cl3 Cl 0.5000 0.5000 0.5000
```

Across the entries above, total magnetic moment takes the values 4.43 0.99 0.00 1.08 8.88 0.72 0.00 0.00 0.00 0.00 0.14 2.67 6.02 0.00 0.00 0.52 3.94 1.00 0.00 0.00 μB/f.u., respectively.
Across the entries above, E_tot takes the values -6.83 -5.96 -4.55 -5.15 -10.39 -3.95 -3.04 -8.47 -5.74 -5.05 -4.28 -5.51 -5.36 -5.09 -3.69 -5.78 -4.94 -4.11 -3.11 -3.78 eV per atom, respectively.